# Er2B2O7, relaxed, DFT PBE-GGA
data_Er2B2O7
_chemical_formula_sum 'Er4 B4 O14'
_cell_length_a 6.3906
_cell_length_b 8.9667
_cell_length_c 4.6766
_cell_angle_alpha 90.00
_cell_angle_beta 108.57
_cell_angle_gamma 90.00
_space_group_name_H-M_alt 'C 1 2/m 1'
_space_group_IT_number 12
_space_group_name_Hall '-C 2y'
loop_
_atom_site_label
_atom_site_fract_x
_atom_site_fract_y
_atom_site_fract_z
Er1 0.0000 0.1949 0.0000
B1 0.2280 0.5000 0.3648
O1 0.0000 0.5000 0.5000
O2 0.1816 0.0000 0.3111
O3 0.2455 0.3646 0.2179
# **Energy relative to the elements, uncorrected**: -28.51 eV/f.u.